The following is a DFT calculation (PBE-GGA) of crystalline Pu3AsN2 at its relaxed geometry.

Properties
Space-group type: No. 63
Formation energy without anion corrections in eV/f.u.: -6.76
N(E_F) in states/eV per cell: 37.353
Polymorph energy (0 for the lowest one) in eV/f.u.: 0.00
E in eV per atom: -11.84

Lattice parameters (Å, degrees): 3.861 6.566 9.188 90.00 90.00 107.10
Fractional positions:
Pu 0.625 0.249 0.056
Pu 0.066 0.133 0.750
Pu 0.625 0.249 0.444
Pu 0.934 0.867 0.250
Pu 0.375 0.751 0.944
Pu 0.375 0.751 0.556
As 0.249 0.498 0.250
As 0.751 0.502 0.750
N 0.000 0.000 0.000
N 0.000 0.000 0.500
N 0.524 0.047 0.250
N 0.476 0.953 0.750

The following is a DFT calculation (PBE-GGA) of crystalline Ca5Tl3I12 at its relaxed geometry.

Properties
Space-group type: No. 230
Formation energy without anion corrections in eV/f.u.: -23.77
N(E_F) in states/eV per cell: 31.682
E in eV per atom: -2.97

Lattice parameters (Å, degrees): 17.029 17.029 17.029 109.47 109.47 109.47
Fractional positions:
Tl 0.750 0.375 0.125
Tl 0.875 0.750 0.125
Tl 0.375 0.750 0.625
Tl 0.250 0.125 0.375
Tl 0.875 0.125 0.250
Tl 0.375 0.625 0.250
Tl 0.625 0.375 0.750
Tl 0.125 0.875 0.750
Tl 0.750 0.875 0.625
Tl 0.625 0.250 0.375
Tl 0.125 0.250 0.875
Tl 0.250 0.625 0.875
Ca 0.125 0.375 0.250
Ca 0.000 0.500 0.000
Ca 0.000 0.000 0.000
Ca 0.375 0.250 0.125
Ca 0.500 0.000 0.500
Ca 0.500 0.500 0.000
Ca 0.125 0.750 0.375
Ca 0.750 0.125 0.875
Ca 0.750 0.625 0.375
Ca 0.375 0.125 0.750
Ca 0.625 0.875 0.250
Ca 0.500 0.500 0.500
Ca 0.500 0.000 0.000
Ca 0.000 0.000 0.500
Ca 0.250 0.375 0.625
Ca 0.250 0.875 0.125
Ca 0.000 0.500 0.500
Ca 0.875 0.250 0.625
Ca 0.625 0.750 0.875
Ca 0.875 0.625 0.750
I 0.706 0.120 0.031
I 0.325 0.531 0.411
I 0.969 0.380 0.294
I 0.531 0.206 0.120
I 0.586 0.706 0.675
I 0.969 0.589 0.175
I 0.325 0.794 0.414
I 0.089 0.914 0.120
I 0.589 0.969 0.675
I 0.706 0.586 0.175
I 0.794 0.469 0.380
I 0.825 0.911 0.031
I 0.120 0.706 0.531
I 0.380 0.411 0.086
I 0.086 0.911 0.380
I 0.414 0.120 0.589
I 0.086 0.175 0.206
I 0.469 0.675 0.089
I 0.825 0.914 0.294
I 0.120 0.414 0.089
I 0.380 0.969 0.794
I 0.589 0.620 0.414
I 0.911 0.825 0.531
I 0.794 0.325 0.914
I 0.411 0.380 0.586
I 0.089 0.175 0.469
I 0.206 0.675 0.086
I 0.175 0.086 0.706
I 0.620 0.031 0.206
I 0.880 0.586 0.911
I 0.531 0.325 0.911
I 0.586 0.880 0.411
I 0.914 0.825 0.794
I 0.914 0.089 0.620
I 0.880 0.294 0.469
I 0.175 0.089 0.969
I 0.620 0.589 0.914
I 0.411 0.031 0.325
I 0.294 0.414 0.825
I 0.206 0.531 0.620
I 0.911 0.086 0.880
I 0.675 0.206 0.586
I 0.469 0.794 0.880
I 0.031 0.411 0.825
I 0.414 0.294 0.325
I 0.031 0.620 0.706
I 0.675 0.469 0.589
I 0.294 0.880 0.969